1.
VASP calculation (GGA-PBE) on crystalline Tb4Pm3YS8 at its relaxed geometry.

Calculated values
The formation energy from raw total energies comes out at -2.01 eV per atom. As for the total energy: -104.46 eV per cell. The value obtained for the volume is 353 Å³/cell.

Geometry as POSCAR:
```
Tb4Pm3YS8
1.0
7.925 0.000 0.000
0.000 7.947 0.011
-3.962 -3.958 5.606
Tb S Pm Y
4 8 3 1
Cartesian
3.962 0.000 0.000
-1.981 -1.979 2.803
1.981 -1.979 2.803
0.000 0.000 0.000
2.011 -1.998 5.569
0.000 4.037 2.808
3.962 -0.048 2.808
1.951 5.986 0.048
5.974 5.986 0.048
-2.011 -1.998 5.569
0.000 -0.049 2.765
3.962 4.038 2.851
3.962 3.973 0.005
-1.981 1.994 2.808
1.981 1.994 2.808
0.000 3.973 0.005
```

---

2.
VASP calculation (GGA-PBE) on crystalline Pm12SbIr6 at its relaxed geometry.

Calculated values
The formation energy from raw total energies comes out at -0.57 eV per atom. As for the total energy: -125.09 eV per cell. The value obtained for the volume is 535 Å³/cell.

Geometry as POSCAR:
```
Pm12SbIr6
1.0
8.352 0.000 -2.953
-4.176 7.233 -2.953
0.000 0.000 8.859
Ir Pm Sb
6 12 1
Cartesian
3.651 0.908 3.695
3.137 3.617 -2.211
0.525 6.325 -0.742
-1.563 4.525 2.211
1.039 3.617 5.164
5.740 2.708 0.742
2.069 0.814 5.932
2.107 6.419 -2.980
3.339 1.385 0.665
0.837 5.848 2.288
3.847 5.034 0.027
0.329 2.199 2.926
0.470 3.584 -0.665
3.706 3.649 3.618
5.483 2.199 -2.288
-2.436 5.848 -0.027
-1.307 5.034 5.241
6.612 1.385 2.980
0.000 0.000 0.000
```

---

3.
VASP calculation (GGA-PBE) on crystalline IrW2Au at its relaxed geometry.

Calculated values
The value obtained for the energy above the most stable polymorph in this dataset is 142 meV/atom. As for the total energy: -37.07 eV per cell. For the formation energy, the calculation gives 1.0 eV/f.u. The value obtained for the volume is 64 Å³/cell.

Geometry as POSCAR:
```
IrW2Au
1.0
4.963 -0.005 0.012
4.114 2.775 0.012
0.882 0.269 4.658
W Ir Au
2 1 1
Cartesian
0.917 0.280 4.578
4.945 1.509 2.420
7.470 2.279 3.511
2.490 0.760 1.170
```

---

4.
VASP calculation (GGA-PBE) on crystalline CdGaTeN2 at its relaxed geometry.

Calculated values
The formation energy from raw total energies comes out at 1.11 eV per atom. The value obtained for the energy above the most stable polymorph in this dataset is 0 meV/atom. As for the total energy: -18.17 eV per cell. The value obtained for the volume is 99 Å³/cell.

Geometry as POSCAR:
```
CdGaTeN2
1.0
4.068 0.000 0.000
0.000 4.068 0.000
0.000 0.000 5.984
Te N Cd Ga
1 2 1 1
Cartesian
0.000 0.000 2.992
0.000 2.034 0.000
2.034 0.000 0.000
2.034 2.034 2.992
0.000 0.000 0.000
```

---

5.
VASP calculation (GGA-PBE) on crystalline SrLiUSe3 at its relaxed geometry.

Calculated values
The formation energy from raw total energies comes out at -1.43 eV per atom. As for the total energy: -67.80 eV per cell. The value obtained for the volume is 320 Å³/cell.

Geometry as POSCAR:
```
SrLiUSe3
1.0
-3.556 -1.577 -1.448
0.076 -5.996 6.347
-4.568 6.961 3.636
Li Se Sr U
2 6 2 2
Cartesian
-4.486 -3.791 6.224
-3.562 3.179 2.311
-3.417 -2.608 2.311
-3.204 -5.629 5.080
-4.631 1.996 6.224
-4.997 1.101 2.150
-3.051 -1.713 6.385
-4.844 5.017 3.456
-1.949 0.121 1.680
-6.099 -0.733 6.855
-6.487 2.681 4.089
-1.561 -3.293 4.446
```